The following is a DFT calculation (PBE) of BaRuNF2 after structural relaxation.

Lattice parameters (Å, degrees): 4.568 4.568 3.789 90.00 90.00 90.00
Fractional coordinates of all 5 atoms:
F (0.500, 0.000, 0.000)
F (0.000, 0.500, 0.000)
N (0.000, 0.000, 0.500)
Ru (0.000, 0.000, 0.000)
Ba (0.500, 0.500, 0.500)

Computed properties:
The total magnetization is 0.10 μB/atom. The calculation puts the relative energy among the computed polymorphs at 0 meV/atom. For the uncorrected formation energy, the calculation gives -7.39 eV per formula unit.

***

The following is a DFT calculation (PBE) of GaCuW2 after structural relaxation.

Lattice parameters (Å, degrees): 6.918 6.918 5.566 51.58 51.58 90.00
Fractional coordinates of all 8 atoms:
W (0.875, 0.870, 0.750)
W (0.130, 0.625, 0.250)
W (0.620, 0.125, 0.250)
W (0.375, 0.380, 0.750)
Cu (0.500, 0.500, 0.000)
Cu (0.250, 0.750, 0.500)
Ga (0.000, 0.000, 0.000)
Ga (0.750, 0.250, 0.500)

Computed properties:
The value obtained for the formation energy from the elements is 0.797 eV per atom. The total magnetization is 0.00 μB/atom.

***

The following is a DFT calculation (PBE) of NbHIrRh2 after structural relaxation.

Lattice parameters (Å, degrees): 3.897 3.897 4.109 90.00 90.00 90.00
Fractional coordinates of all 5 atoms:
H (0.000, 0.000, 0.000)
Rh (0.500, 0.000, 0.000)
Rh (0.000, 0.500, 0.000)
Ir (0.500, 0.500, 0.500)
Nb (0.000, 0.000, 0.500)

Computed properties:
The total magnetization is 0.00 μB/atom. The calculation puts the relative energy among the computed polymorphs at 35 meV/atom.

***

The following is a DFT calculation (PBE) of V6GaFe after structural relaxation.

Lattice parameters (Å, degrees): 4.192 5.145 5.145 110.02 90.00 90.00
Fractional coordinates of all 8 atoms:
V (0.000, 0.619, 0.381)
V (0.500, 0.875, 0.125)
V (0.500, 0.882, 0.627)
V (0.000, 0.110, 0.368)
V (0.500, 0.373, 0.118)
V (0.000, 0.632, 0.890)
Fe (0.000, 0.128, 0.872)
Ga (0.500, 0.382, 0.618)

Computed properties:
The value obtained for the formation energy from the elements is -0.114 eV per atom. The total magnetization is 0.00 μB/atom. The calculation puts the relative energy among the computed polymorphs at 72 meV/atom.

***

The following is a DFT calculation (PBE) of CeDy4Th2 after structural relaxation.

Lattice parameters (Å, degrees): 3.518 6.094 11.762 111.05 90.00 90.00
Fractional coordinates of all 7 atoms:
Th (0.500, 0.000, 0.500)
Th (0.000, 0.500, 0.500)
Dy (0.500, 0.838, 0.744)
Dy (0.500, 0.162, 0.256)
Dy (0.000, 0.635, 0.218)
Dy (0.000, 0.365, 0.782)
Ce (0.000, 0.000, 0.000)

Computed properties:
The value obtained for the formation energy from the elements is 0.216 eV per atom. The total magnetization is 0.20 μB/atom.

***

The following is a DFT calculation (PBE) of LaHo2VN4 after structural relaxation.

Lattice parameters (Å, degrees): 3.402 6.153 11.724 90.00 90.00 106.05
Fractional coordinates of all 16 atoms:
N (0.418, 0.837, 0.750)
N (0.263, 0.525, 0.123)
N (0.000, 0.000, 0.000)
N (0.000, 0.000, 0.500)
N (0.263, 0.525, 0.377)
N (0.582, 0.163, 0.250)
N (0.737, 0.475, 0.877)
N (0.737, 0.475, 0.623)
Ho (0.371, 0.741, 0.542)
Ho (0.629, 0.259, 0.042)
Ho (0.371, 0.741, 0.958)
Ho (0.629, 0.259, 0.458)
V (0.176, 0.353, 0.250)
V (0.824, 0.647, 0.750)
La (0.917, 0.834, 0.250)
La (0.083, 0.166, 0.750)

Computed properties:
The total magnetization is 0.02 μB/atom. For the uncorrected formation energy, the calculation gives -11.29 eV per formula unit.